Record 1
{"formula": "Cd2HPd6S", "functional": "PBE-GGA", "state": "relaxed", "lattice": [[-1.174, -4.461, 3.926], [5.921, -1.240, 0.362], [0.754, 5.480, 6.452]], "species": ["Cd", "Cd", "Cd", "Cd", "H", "H", "Pd", "Pd", "Pd", "Pd", "Pd", "Pd", "Pd", "Pd", "Pd", "Pd", "Pd", "Pd", "S", "S"], "fractional_positions": [[0.500, 0.748, 0.250], [0.000, 0.252, 0.750], [0.500, 0.748, 0.750], [0.000, 0.252, 0.250], [0.500, 0.243, 0.500], [0.000, 0.757, 0.000], [0.500, 0.242, 0.264], [0.500, 0.242, 0.736], [0.000, 0.758, 0.236], [0.000, 0.758, 0.764], [0.261, 0.008, 0.500], [0.739, 0.008, 0.500], [0.264, 0.482, 0.500], [0.736, 0.482, 0.500], [0.764, 0.518, 0.000], [0.236, 0.518, 0.000], [0.239, 0.992, 0.000], [0.761, 0.992, 0.000], [0.000, 0.742, 0.500], [0.500, 0.258, 0.000]], "n_ef_per_ev_cell": 7.0, "dft_energy_ev_per_atom": -4.315}

Record 2
{"formula": "Sc2CdHPd", "functional": "PBE-GGA", "state": "relaxed", "lattice": [[4.754, 0.000, 0.000], [0.000, 4.754, 0.000], [0.000, 0.000, 3.653]], "species": ["Sc", "Sc", "H", "Pd", "Cd"], "fractional_positions": [[0.000, 0.500, 0.000], [0.500, 0.000, 0.000], [0.000, 0.000, 0.000], [0.000, 0.000, 0.500], [0.500, 0.500, 0.500]], "n_ef_per_ev_cell": 2.9, "dft_energy_ev_per_atom": -4.924, "e_above_lowest_polymorph_ev_per_atom": 0.0000}